No. 1
VASP calculation (PBE-GGA) on crystalline LiDyFeTe3 at its relaxed geometry.

## Properties
* energy: -4.78 eV/atom

Lattice parameters (Å, degrees): 7.434 7.434 11.274 90.00 90.00 32.40
Fractional positions:
Fe: 0.473 0.473 0.250
Fe: 0.527 0.527 0.750
Te: 0.646 0.646 0.573
Te: 0.910 0.910 0.750
Te: 0.354 0.354 0.073
Te: 0.646 0.646 0.927
Te: 0.354 0.354 0.427
Te: 0.090 0.090 0.250
Li: 0.199 0.199 0.750
Li: 0.801 0.801 0.250
Dy: 0.000 0.000 0.000
Dy: 0.000 0.000 0.500

No. 2
VASP calculation (PBE-GGA) on crystalline Na2Nb at its relaxed geometry.

## Properties
* energy: -3.06 eV/atom

Lattice parameters (Å, degrees): 5.591 5.591 5.591 60.00 60.00 60.00
Fractional positions:
Na: 0.625 0.125 0.625
Na: 0.625 0.625 0.625
Na: 0.625 0.625 0.125
Na: 0.125 0.625 0.625
Nb: 0.000 0.000 0.000
Nb: 0.250 0.250 0.250

No. 3
VASP calculation (PBE-GGA) on crystalline Tb2Ga5Ni3 at its relaxed geometry.

## Properties
* energy: -4.73 eV/atom

Lattice parameters (Å, degrees): 8.343 8.343 8.343 107.69 85.19 141.26
Fractional positions:
Ni: 0.644 0.906 0.551
Ni: 0.856 0.406 0.262
Ni: 0.750 0.750 0.000
Ni: 0.356 0.094 0.449
Ni: 0.250 0.250 0.000
Ni: 0.144 0.594 0.738
Ga: 0.590 0.672 0.262
Ga: 0.750 0.250 0.500
Ga: 0.910 0.172 0.082
Ga: 0.250 0.750 0.500
Ga: 0.040 0.250 0.790
Ga: 0.960 0.750 0.210
Ga: 0.090 0.828 0.918
Ga: 0.540 0.750 0.790
Ga: 0.410 0.328 0.738
Ga: 0.460 0.250 0.210
Tb: 0.858 0.723 0.581
Tb: 0.642 0.223 0.866
Tb: 0.142 0.277 0.419
Tb: 0.358 0.777 0.134

No. 4
VASP calculation (PBE-GGA) on crystalline ScCuGe at its relaxed geometry.

## Properties
* energy: -5.38 eV/atom

Lattice parameters (Å, degrees): 6.679 6.679 3.851 90.00 90.00 120.00
Fractional positions:
Sc: 0.000 0.599 0.500
Sc: 0.599 0.000 0.500
Sc: 0.401 0.401 0.500
Ge: 0.733 0.733 0.000
Ge: 0.000 0.267 0.000
Ge: 0.267 0.000 0.000
Cu: 0.000 0.000 0.500
Cu: 0.333 0.667 0.000
Cu: 0.667 0.333 0.000

No. 5
VASP calculation (PBE-GGA) on crystalline MgZrTcAs at its relaxed geometry.

## Properties
* energy: -6.38 eV/atom

Lattice parameters (Å, degrees): 4.622 4.622 4.622 60.00 60.00 60.00
Fractional positions:
As: 0.000 0.000 0.000
Mg: 0.750 0.750 0.750
Zr: 0.250 0.250 0.250
Tc: 0.500 0.500 0.500

No. 6
VASP calculation (PBE-GGA) on crystalline BaPdO3 at its relaxed geometry.

## Properties
* energy: -5.62 eV/atom

Lattice parameters (Å, degrees): 5.651 5.651 6.517 64.30 64.30 60.00
Fractional positions:
O: 0.676 0.059 0.802
O: 0.536 0.324 0.198
O: 0.941 0.536 0.198
O: 0.059 0.464 0.802
O: 0.324 0.941 0.198
O: 0.464 0.676 0.802
Pd: 0.664 0.664 0.007
Pd: 0.336 0.336 0.993
Ba: 0.871 0.871 0.388
Ba: 0.129 0.129 0.612

No. 7
VASP calculation (PBE-GGA) on crystalline K2NaFeBr6 at its relaxed geometry.

## Properties
* energy: -2.54 eV/atom

Lattice parameters (Å, degrees): 5.483 5.483 13.177 90.00 90.00 90.00
Fractional positions:
Br: 0.500 0.000 0.863
Br: 0.000 0.500 0.863
Br: 0.000 0.500 0.137
Br: 0.500 0.000 0.137
Br: 0.500 0.500 0.500
Br: 0.500 0.500 0.000
K: 0.500 0.500 0.739
K: 0.500 0.500 0.261
Fe: 0.000 0.000 0.500
Na: 0.000 0.000 0.000

No. 8
VASP calculation (PBE-GGA) on crystalline NaUFe at its relaxed geometry.

## Properties
* energy: -5.02 eV/atom

Lattice parameters (Å, degrees): 4.364 4.364 4.364 60.00 60.00 60.00
Fractional positions:
Fe: 0.250 0.250 0.250
U: 0.750 0.750 0.750
Na: 0.000 0.000 0.000

No. 9
VASP calculation (PBE-GGA) on crystalline Nd3Nb3W2N12 at its relaxed geometry.

## Properties
* energy: -9.40 eV/atom

Lattice parameters (Å, degrees): 11.271 11.271 11.271 109.47 109.47 109.47
Fractional positions:
Nb: 0.875 0.250 0.125
Nb: 0.750 0.375 0.625
Nb: 0.250 0.625 0.375
Nb: 0.625 0.750 0.375
Nb: 0.750 0.875 0.125
Nb: 0.125 0.750 0.875
Nb: 0.250 0.125 0.875
Nb: 0.875 0.125 0.750
Nb: 0.125 0.875 0.250
Nb: 0.375 0.625 0.750
Nb: 0.375 0.250 0.625
Nb: 0.625 0.375 0.250
N: 0.095 0.615 0.420
N: 0.676 0.095 0.981
N: 0.420 0.095 0.615
N: 0.176 0.195 0.580
N: 0.385 0.580 0.905
N: 0.920 0.305 0.324
N: 0.695 0.676 0.080
N: 0.905 0.019 0.324
N: 0.519 0.405 0.824
N: 0.080 0.885 0.405
N: 0.176 0.481 0.595
N: 0.080 0.695 0.676
N: 0.115 0.595 0.920
N: 0.519 0.615 0.695
N: 0.095 0.981 0.676
N: 0.481 0.385 0.305
N: 0.405 0.080 0.885
N: 0.385 0.305 0.481
N: 0.885 0.405 0.080
N: 0.615 0.695 0.519
N: 0.905 0.385 0.580
N: 0.019 0.324 0.905
N: 0.695 0.519 0.615
N: 0.920 0.115 0.595
N: 0.305 0.324 0.920
N: 0.420 0.824 0.805
N: 0.324 0.905 0.019
N: 0.305 0.481 0.385
N: 0.805 0.420 0.824
N: 0.481 0.595 0.176
N: 0.580 0.176 0.195
N: 0.195 0.580 0.176
N: 0.676 0.080 0.695
N: 0.824 0.805 0.420
N: 0.405 0.824 0.519
N: 0.805 0.885 0.981
N: 0.885 0.981 0.805
N: 0.595 0.920 0.115
N: 0.824 0.519 0.405
N: 0.115 0.019 0.195
N: 0.580 0.905 0.385
N: 0.981 0.805 0.885
N: 0.981 0.676 0.095
N: 0.324 0.920 0.305
N: 0.615 0.420 0.095
N: 0.595 0.176 0.481
N: 0.019 0.195 0.115
N: 0.195 0.115 0.019
W: 0.000 0.500 0.500
W: 0.500 0.000 0.000
W: 0.000 0.500 0.000
W: 0.500 0.500 0.000
W: 0.000 0.000 0.500
W: 0.500 0.500 0.500
W: 0.500 0.000 0.500
W: 0.000 0.000 0.000
Nd: 0.125 0.375 0.750
Nd: 0.875 0.625 0.250
Nd: 0.250 0.875 0.625
Nd: 0.375 0.125 0.250
Nd: 0.125 0.250 0.375
Nd: 0.625 0.250 0.875
Nd: 0.625 0.875 0.750
Nd: 0.375 0.750 0.125
Nd: 0.250 0.375 0.125
Nd: 0.750 0.125 0.375
Nd: 0.875 0.750 0.625
Nd: 0.750 0.625 0.875

No. 10
VASP calculation (PBE-GGA) on crystalline TaInCuPt at its relaxed geometry.

## Properties
* energy: -6.12 eV/atom

Lattice parameters (Å, degrees): 4.559 4.559 4.559 60.00 60.00 60.00
Fractional positions:
Cu: 0.750 0.750 0.750
Pt: 0.500 0.500 0.500
Ta: 0.250 0.250 0.250
In: 0.000 0.000 0.000

> Look up the energy of the seventh one.

-2.54 eV/atom